Record 1
Compound: BaSr3Ir
Source: Alexandria
Functional: PBE-GGA
Structure: relaxed

abc: 9.027 9.027 9.917
angles: 104.05 104.05 40.48
Positions (direct):
Ba: 0.113 0.113 0.196
Ba: 0.887 0.887 0.804
Sr: 0.218 0.218 0.807
Sr: 0.362 0.362 0.516
Sr: 0.432 0.432 0.125
Sr: 0.568 0.568 0.875
Sr: 0.638 0.638 0.484
Sr: 0.782 0.782 0.193
Ir: 0.387 0.387 0.813
Ir: 0.613 0.613 0.187

**Symmetry**: C2/m (12)
**Formation energy from the elements**: -7 kJ per mole of atoms
**E above lowest polymorph**: 92.0 meV per atom
**Magnetization**: 0.000 μB/atom
**Density of states at the Fermi level**: 7.5 states/eV/cell

=====

Record 2
Compound: ErPu2Mn
Source: Alexandria
Functional: PBE-GGA
Structure: relaxed

abc: 3.307 3.307 8.644
angles: 90.00 90.00 90.00
Positions (direct):
Er: 0.000 0.000 0.000
Pu: 0.500 0.500 0.303
Pu: 0.500 0.500 0.697
Mn: 0.000 0.000 0.500

**Symmetry**: P4/mmm (123)
**Formation energy from the elements**: 13 kJ per mole of atoms
**E above lowest polymorph**: 0.0 meV per atom
**Magnetization**: 2.233 μB/atom
**Density of states at the Fermi level**: 11.1 states/eV/cell

=====

Record 3
Compound: AcHg2N
Source: Alexandria
Functional: PBE-GGA
Structure: relaxed

abc: 3.719 3.729 16.394
angles: 90.00 96.60 90.00
Positions (direct):
Ac: 0.205 0.250 0.412
Ac: 0.795 0.750 0.588
Hg: 0.039 0.750 0.082
Hg: 0.397 0.750 0.789
Hg: 0.603 0.250 0.211
Hg: 0.961 0.250 0.918
N: 0.282 0.250 0.564
N: 0.718 0.750 0.436

**Symmetry**: P2_1/m (11)
**Formation energy without anion corrections**: -519 meV per atom
**Magnetization**: 0.000 μB/atom
**Density of states at the Fermi level**: 2.8 states/eV/cell

=====

Record 4
Compound: Ba3Tl9Au2
Source: Alexandria
Functional: PBE-GGA
Structure: relaxed

abc: 9.663 9.663 9.663
angles: 148.52 104.41 84.16
Positions (direct):
Ba: 0.000 0.000 0.000
Ba: 0.315 0.315 0.000
Ba: 0.685 0.685 0.000
Tl: 0.017 0.651 0.366
Tl: 0.144 0.865 0.279
Tl: 0.284 0.651 0.634
Tl: 0.415 0.135 0.279
Tl: 0.500 0.000 0.500
Tl: 0.585 0.865 0.721
Tl: 0.716 0.349 0.366
Tl: 0.856 0.135 0.721
Tl: 0.983 0.349 0.634
Au: 0.310 0.500 0.810
Au: 0.690 0.500 0.190

**Symmetry**: Immm (71)
**Formation energy from the elements**: -27 kJ per mole of atoms
**Magnetization**: 0.000 μB/atom
**Density of states at the Fermi level**: 5.7 states/eV/cell

=====

Record 5
Compound: Nd5SmDy5
Source: Alexandria
Functional: PBE-GGA
Structure: relaxed

abc: 9.976 9.976 7.052
angles: 110.50 110.50 35.15
Positions (direct):
Nd: 0.000 0.000 0.000
Nd: 0.324 0.324 0.068
Nd: 0.324 0.324 0.579
Nd: 0.676 0.676 0.421
Nd: 0.676 0.676 0.932
Sm: 0.500 0.500 0.000
Dy: 0.123 0.123 0.625
Dy: 0.170 0.170 0.171
Dy: 0.500 0.500 0.500
Dy: 0.830 0.830 0.829
Dy: 0.877 0.877 0.375

**Symmetry**: C2/m (12)
**Formation energy from the elements**: 24 kJ per mole of atoms
**E above lowest polymorph**: 0.0 meV per atom
**Magnetization**: 0.043 μB/atom
**Density of states at the Fermi level**: 18.3 states/eV/cell

=====

Record 6
Compound: FeAs2PbBr
Source: Alexandria
Functional: PBE-GGA
Structure: relaxed

abc: 4.584 4.584 5.792
angles: 90.00 90.00 90.00
Positions (direct):
Fe: 0.000 0.000 0.000
As: 0.000 0.500 0.000
As: 0.500 0.000 0.000
Pb: 0.500 0.500 0.500
Br: 0.000 0.000 0.500

**Symmetry**: P4/mmm (123)
**Formation energy without anion corrections**: 174 meV per atom
**E above lowest polymorph**: 0.0 meV per atom
**Magnetization**: 0.495 μB/atom
**Density of states at the Fermi level**: 3.8 states/eV/cell

=====

Record 7
Compound: Ac2Sm3Tl4
Source: Alexandria
Functional: PBE-GGA
Structure: relaxed

abc: 8.680 8.727 8.326
angles: 90.00 107.91 90.00
Positions (direct):
Ac: 0.188 0.181 0.065
Ac: 0.188 0.319 0.565
Ac: 0.812 0.681 0.435
Ac: 0.812 0.819 0.935
Sm: 0.245 0.665 0.250
Sm: 0.245 0.835 0.750
Sm: 0.500 0.000 0.500
Sm: 0.500 0.500 0.000
Sm: 0.755 0.165 0.250
Sm: 0.755 0.335 0.750
Tl: 0.084 0.540 0.857
Tl: 0.084 0.960 0.357
Tl: 0.499 0.128 0.868
Tl: 0.499 0.372 0.368
Tl: 0.501 0.628 0.632
Tl: 0.501 0.872 0.132
Tl: 0.916 0.040 0.643
Tl: 0.916 0.460 0.143

**Symmetry**: P2_1/c (14)
**Formation energy from the elements**: -35 kJ per mole of atoms
**E above lowest polymorph**: 0.0 meV per atom
**Magnetization**: 0.000 μB/atom
**Density of states at the Fermi level**: 19.0 states/eV/cell

=====

Record 8
Compound: Ac3La2Dy6
Source: Alexandria
Functional: PBE-GGA
Structure: relaxed

abc: 6.375 6.375 11.793
angles: 94.13 94.13 118.92
Positions (direct):
Ac: 0.000 0.000 0.000
Ac: 0.335 0.665 0.000
Ac: 0.665 0.335 0.000
La: 0.181 0.819 0.500
La: 0.819 0.181 0.500
Dy: 0.071 0.404 0.253
Dy: 0.265 0.265 0.739
Dy: 0.404 0.071 0.253
Dy: 0.596 0.929 0.747
Dy: 0.735 0.735 0.261
Dy: 0.929 0.596 0.747

**Symmetry**: C2/m (12)
**Formation energy from the elements**: 21 kJ per mole of atoms
**Magnetization**: 0.000 μB/atom
**Density of states at the Fermi level**: 14.6 states/eV/cell